1.
VASP calculation (GGA-PBE) on an optimized crystal structure of Sc2CoPd.

a = 4.5054 Å, b = 4.5054 Å, c = 4.5054 Å
α = 60.00°, β = 60.00°, γ = 60.00°
Closest atoms and distances in Å follow each position.
Element x y z (fractional)
Co 0.2500 0.2500 0.2500  4 Pd 2.76, 4 Sc 2.76
Sc 0.7500 0.7500 0.7500  4 Sc 2.76, 4 Pd 2.76
Pd 0.5000 0.5000 0.5000  4 Co 2.76, 4 Sc 2.76
Sc 0.0000 0.0000 0.0000  4 Sc 2.76, 4 Co 2.76

* DFT total energy: -25.9 eV for the cell shown
* total moment: 0.22 μB/atom
* symmetry: F-43m (216)

***

2.
VASP calculation (GGA-PBE) on an optimized crystal structure of Sc5Co4Pd.

a = 3.1461 Å, b = 3.1461 Å, c = 15.8565 Å
α = 90.00°, β = 90.00°, γ = 90.00°
Closest atoms and distances in Å follow each position.
Element x y z (fractional)
Pd 0.0000 0.0000 0.0000  8 Sc 2.83, 4 Pd 3.15
Sc 0.5000 0.5000 0.3050  8 Co 2.70-2.74
Sc 0.5000 0.5000 0.6950  8 Co 2.70-2.74
Co 0.0000 0.0000 0.5982  8 Sc 2.70-2.72
Sc 0.5000 0.5000 0.5000  8 Co 2.72
Co 0.0000 0.0000 0.7960  8 Sc 2.67-2.74
Co 0.0000 0.0000 0.2040  8 Sc 2.67-2.74
Sc 0.5000 0.5000 0.1105  4 Co 2.67, 4 Pd 2.83
Co 0.0000 0.0000 0.4018  8 Sc 2.70-2.72
Sc 0.5000 0.5000 0.8895  4 Co 2.67, 4 Pd 2.83

* DFT total energy: -69.9 eV for the cell shown
* total moment: 0.11 μB/atom
* symmetry: P4/mmm (123)

***

3.
VASP calculation (GGA-PBE) on an optimized crystal structure of ScCoSnPd.

a = 4.5774 Å, b = 4.5774 Å, c = 4.5774 Å
α = 60.00°, β = 60.00°, γ = 60.00°
Closest atoms and distances in Å follow each position.
Element x y z (fractional)
Co 0.7500 0.7500 0.7500  4 Pd 2.80, 4 Sn 2.80
Sc 0.2500 0.2500 0.2500  4 Sn 2.80, 4 Pd 2.80
Sn 0.0000 0.0000 0.0000  4 Sc 2.80, 4 Co 2.80
Pd 0.5000 0.5000 0.5000  4 Sc 2.80, 4 Co 2.80

* total moment: 0.33 μB/atom
* relative energy among the computed polymorphs: 270 meV per atom
* symmetry: F-43m (216)

***

4.
VASP calculation (GGA-PBE) on an optimized crystal structure of ScCoSnPd.

a = 4.5351 Å, b = 4.5351 Å, c = 4.5351 Å
α = 60.00°, β = 60.00°, γ = 60.00°
Closest atoms and distances in Å follow each position.
Element x y z (fractional)
Sn 0.0000 0.0000 0.0000  4 Pd 2.78, 4 Co 2.78
Co 0.7500 0.7500 0.7500  4 Sc 2.78, 4 Sn 2.78
Pd 0.2500 0.2500 0.2500  4 Sn 2.78, 4 Sc 2.78
Sc 0.5000 0.5000 0.5000  4 Co 2.78, 4 Pd 2.78

* total moment: 0.21 μB/atom
* relative energy among the computed polymorphs: 0 meV per atom
* symmetry: F-43m (216)

***

5.
VASP calculation (GGA-PBE) on an optimized crystal structure of Co2Pd5Se12.

a = 6.2250 Å, b = 6.2250 Å, c = 17.7296 Å
α = 91.33°, β = 91.33°, γ = 34.40°
Closest atoms and distances in Å follow each position.
Element x y z (fractional)
Se 0.6793 0.6793 0.0761  3 Pd 2.49-2.50
Co 0.4568 0.4568 0.2685  6 Se 2.35-2.47
Pd 0.9457 0.9457 0.8814  5 Se 2.49-2.54
Se 0.8239 0.8239 0.5648  3 Pd 2.54-2.56
Se 0.1750 0.1750 0.7215  2 Co 2.43, 1 Pd 2.52
Pd 0.5000 0.5000 0.0000  4 Se 2.50-2.60
Se 0.5365 0.5365 0.5987  1 Co 2.35, 2 Pd 2.53
Se 0.1761 0.1761 0.4352  3 Pd 2.54-2.56
Se 0.4091 0.4091 0.1321  1 Co 2.47, 3 Pd 2.54-2.60
Pd 0.0543 0.0543 0.1186  5 Se 2.49-2.54
Se 0.9195 0.9195 0.7409  2 Co 2.36, 1 Pd 2.50
Se 0.8250 0.8250 0.2785  2 Co 2.43, 1 Pd 2.52
Se 0.4635 0.4635 0.4013  1 Co 2.35, 2 Pd 2.53
Se 0.3207 0.3207 0.9239  3 Pd 2.49-2.50
Se 0.5909 0.5909 0.8679  1 Co 2.47, 3 Pd 2.54-2.60
Se 0.0805 0.0805 0.2591  2 Co 2.36, 1 Pd 2.50
Pd 0.1785 0.1785 0.5794  6 Se 2.52-2.56
Co 0.5432 0.5432 0.7315  6 Se 2.35-2.47
Pd 0.8215 0.8215 0.4206  6 Se 2.52-2.56

* DFT total energy: -86.6 eV for the cell shown
* total moment: 0.00 μB/atom
* symmetry: C2/m (12)

***

6.
VASP calculation (GGA-PBE) on an optimized crystal structure of CoPd3Se.

a = 6.6835 Å, b = 6.6835 Å, c = 4.9877 Å
α = 90.00°, β = 90.00°, γ = 120.00°
Closest atoms and distances in Å follow each position.
Element x y z (fractional)
Co 0.0000 0.0000 0.7500  2 Co 2.49
Pd 0.4651 0.9302 0.2500  1 Se 2.33
Se 0.3333 0.6667 0.7500  3 Pd 2.33
Pd 0.0698 0.5349 0.2500  1 Se 2.33
Pd 0.4651 0.5349 0.2500  1 Se 2.33
Pd 0.5349 0.4651 0.7500  1 Se 2.33
Co 0.0000 0.0000 0.2500  2 Co 2.49
Pd 0.9302 0.4651 0.7500  1 Se 2.33
Pd 0.5349 0.0698 0.7500  1 Se 2.33
Se 0.6667 0.3333 0.2500  3 Pd 2.33

* DFT total energy: -46.5 eV for the cell shown
* total moment: 0.49 μB/atom
* symmetry: P6_3/mmc (194)

***

7.
VASP calculation (GGA-PBE) on an optimized crystal structure of CoPd2Se2.

a = 5.0331 Å, b = 6.0213 Å, c = 6.6026 Å
α = 117.13°, β = 112.40°, γ = 90.00°
Closest atoms and distances in Å follow each position.
Element x y z (fractional)
Se 0.8585 0.6483 0.7169  2 Co 2.33, 1 Pd 2.52
Co 0.7500 0.0000 0.0000  4 Se 2.33, 2 Co 2.52
Se 0.3585 0.0686 0.7169  2 Co 2.33, 1 Pd 2.52
Co 0.2500 0.0000 0.0000  4 Se 2.33, 2 Co 2.52
Pd 0.8874 0.2624 0.7748  4 Se 2.52-2.72
Se 0.6415 0.9314 0.2831  2 Co 2.33, 1 Pd 2.52
Pd 0.3874 0.5124 0.7748  4 Se 2.52-2.72
Se 0.1415 0.3517 0.2831  2 Co 2.33, 1 Pd 2.52
Pd 0.6126 0.4876 0.2252  4 Se 2.52-2.72
Pd 0.1126 0.7376 0.2252  4 Se 2.52-2.72

* DFT total energy: -51.7 eV for the cell shown
* total moment: 0.00 μB/atom
* symmetry: Ibam (72)

***

8.
VASP calculation (GGA-PBE) on an optimized crystal structure of Co2Sn4PdSe12.

a = 6.6738 Å, b = 6.6738 Å, c = 21.7898 Å
α = 102.29°, β = 102.29°, γ = 32.47°
Closest atoms and distances in Å follow each position.
Element x y z (fractional)
Se 0.6528 0.6528 0.5436  3 Sn 2.72-2.75
Se 0.9667 0.9667 0.6252  1 Co 2.30
Se 0.3472 0.3472 0.4564  3 Sn 2.72-2.75
Co 0.0671 0.0671 0.2755  5 Se 2.30-2.46
Se 0.6832 0.6832 0.2969  2 Co 2.37
Sn 0.4732 0.4732 0.1216  5 Se 2.61-2.71
Sn 0.5268 0.5268 0.8784  5 Se 2.61-2.71
Se 0.4446 0.4446 0.2367  2 Co 2.46, 1 Sn 2.61
Se 0.8796 0.8796 0.8910  1 Pd 2.53, 2 Sn 2.71
Se 0.8458 0.8458 0.0538  1 Pd 2.51, 2 Sn 2.69
Co 0.9329 0.9329 0.7245  5 Se 2.30-2.46
Pd 0.0000 0.0000 0.0000  4 Se 2.51-2.53
Se 0.0333 0.0333 0.3748  1 Co 2.30
Sn 0.3136 0.3136 0.5753  6 Se 2.72-2.77
Se 0.5554 0.5554 0.7633  2 Co 2.46, 1 Sn 2.61
Se 0.3168 0.3168 0.7031  2 Co 2.37
Se 0.1204 0.1204 0.1090  1 Pd 2.53, 2 Sn 2.71
Se 0.1542 0.1542 0.9462  1 Pd 2.51, 2 Sn 2.69
Sn 0.6864 0.6864 0.4247  6 Se 2.72-2.77

* DFT total energy: -82.1 eV for the cell shown
* total moment: 0.00 μB/atom
* symmetry: C2/m (12)

***

9.
VASP calculation (GGA-PBE) on an optimized crystal structure of Ta4Co2PdSe12.

a = 3.4306 Å, b = 7.0392 Å, c = 18.3484 Å
α = 90.31°, β = 95.36°, γ = 75.90°
Closest atoms and distances in Å follow each position.
Element x y z (fractional)
Se 0.4251 0.3857 0.2359  2 Co 2.39, 1 Ta 2.53
Se 0.1148 0.6969 0.9264  1 Pd 2.49, 2 Ta 2.61
Se 0.8852 0.3031 0.0736  1 Pd 2.49, 2 Ta 2.61
Ta 0.6598 0.0868 0.4064  6 Se 2.55-2.71
Pd 0.0000 0.0000 0.0000  4 Se 2.47-2.49
Ta 0.4736 0.9020 0.8491  6 Se 2.53-2.64
Co 0.0536 0.1769 0.2841  5 Se 2.39-2.42
Se 0.6774 0.9265 0.2813  2 Co 2.42, 2 Ta 2.55-2.64
Co 0.9464 0.8231 0.7159  5 Se 2.39-2.42
Se 0.9845 0.6372 0.6063  1 Co 2.39, 2 Ta 2.56
Ta 0.5264 0.0980 0.1509  6 Se 2.53-2.64
Se 0.8517 0.1774 0.8808  1 Pd 2.47, 2 Ta 2.62
Se 0.3162 0.8178 0.4503  3 Ta 2.63-2.71
Ta 0.3402 0.9132 0.5936  6 Se 2.55-2.71
Se 0.6838 0.1822 0.5497  3 Ta 2.63-2.71
Se 0.1483 0.8226 0.1192  1 Pd 2.47, 2 Ta 2.62
Se 0.3226 0.0735 0.7187  2 Co 2.42, 2 Ta 2.55-2.64
Se 0.5749 0.6143 0.7641  2 Co 2.39, 1 Ta 2.53
Se 0.0155 0.3628 0.3937  1 Co 2.39, 2 Ta 2.56

* DFT total energy: -122.0 eV for the cell shown
* total moment: 0.00 μB/atom
* symmetry: C2/m (12)

***

10.
VASP calculation (GGA-PBE) on an optimized crystal structure of TlCoPdSe3.

a = 7.6639 Å, b = 3.6401 Å, c = 9.7023 Å
α = 90.00°, β = 107.64°, γ = 90.00°
Closest atoms and distances in Å follow each position.
Element x y z (fractional)
Co 0.8195 0.2500 0.8667  6 Se 2.40-2.43
Co 0.1805 0.7500 0.1333  6 Se 2.40-2.43
Pd 0.4724 0.2500 0.3770  4 Se 2.50-2.62
Se 0.0285 0.7500 0.8775  3 Co 2.40-2.41
Se 0.2397 0.7500 0.3935  1 Co 2.43, 3 Pd 2.59-2.62
Se 0.9715 0.2500 0.1225  3 Co 2.40-2.41
Pd 0.5276 0.7500 0.6230  4 Se 2.50-2.62
Se 0.6262 0.7500 0.8931  2 Co 2.41, 1 Pd 2.50
Tl 0.7485 0.7500 0.2985  2 Pd 3.06, 2 Se 3.30
Se 0.7603 0.2500 0.6065  1 Co 2.43, 3 Pd 2.59-2.62
Se 0.3738 0.2500 0.1069  2 Co 2.41, 1 Pd 2.50
Tl 0.2515 0.2500 0.7015  2 Pd 3.06, 2 Se 3.30

* DFT total energy: -53.0 eV for the cell shown
* total moment: 0.00 μB/atom
* symmetry: P2_1/m (11)

***

11.
VASP calculation (GGA-PBE) on an optimized crystal structure of CoSiPd2.

a = 4.2260 Å, b = 4.2260 Å, c = 4.2260 Å
α = 60.00°, β = 60.00°, γ = 60.00°
Closest atoms and distances in Å follow each position.
Element x y z (fractional)
Si 0.5000 0.5000 0.5000  4 Pd 2.59, 4 Co 2.59
Pd 0.7500 0.7500 0.7500  4 Si 2.59, 4 Pd 2.59
Pd 0.0000 0.0000 0.0000  4 Co 2.59, 4 Pd 2.59
Co 0.2500 0.2500 0.2500  4 Pd 2.59, 4 Si 2.59

* DFT total energy: -23.5 eV for the cell shown
* total moment: 0.28 μB/atom
* symmetry: F-43m (216)

***

12.
VASP calculation (GGA-PBE) on an optimized crystal structure of SmCoSi2Pd.

a = 5.7506 Å, b = 5.7506 Å, c = 5.7506 Å
α = 138.52°, β = 138.52°, γ = 60.11°
Closest atoms and distances in Å follow each position.
Element x y z (fractional)
Si 0.6276 0.1276 0.5000  2 Co 2.40, 2 Pd 2.40, 1 Si 2.44
Pd 0.5000 0.5000 0.0000  4 Si 2.40
Si 0.8724 0.3724 0.5000  2 Co 2.40, 2 Pd 2.40, 1 Si 2.44
Sm 0.2500 0.7500 0.5000  8 Si 3.13, 4 Pd 3.22, 4 Co 3.22
Co 0.0000 0.0000 0.0000  4 Si 2.40

* DFT total energy: -31.9 eV for the cell shown
* total moment: 0.22 μB/atom
* symmetry: I-4m2 (119)

***

Q: Look up the total moment of the eleventh one.
A: 0.28 μB/atom

***

What did the seventh record say?
VASP calculation (GGA-PBE) on an optimized crystal structure of CoPd2Se2.

a = 5.0331 Å, b = 6.0213 Å, c = 6.6026 Å
α = 117.13°, β = 112.40°, γ = 90.00°
Closest atoms and distances in Å follow each position.
Element x y z (fractional)
Se 0.8585 0.6483 0.7169  2 Co 2.33, 1 Pd 2.52
Co 0.7500 0.0000 0.0000  4 Se 2.33, 2 Co 2.52
Se 0.3585 0.0686 0.7169  2 Co 2.33, 1 Pd 2.52
Co 0.2500 0.0000 0.0000  4 Se 2.33, 2 Co 2.52
Pd 0.8874 0.2624 0.7748  4 Se 2.52-2.72
Se 0.6415 0.9314 0.2831  2 Co 2.33, 1 Pd 2.52
Pd 0.3874 0.5124 0.7748  4 Se 2.52-2.72
Se 0.1415 0.3517 0.2831  2 Co 2.33, 1 Pd 2.52
Pd 0.6126 0.4876 0.2252  4 Se 2.52-2.72
Pd 0.1126 0.7376 0.2252  4 Se 2.52-2.72

* DFT total energy: -51.7 eV for the cell shown
* total moment: 0.00 μB/atom
* symmetry: Ibam (72)